(1)
{"formula": "SiHgSb3", "functional": "GGA-PBEsol", "state": "optimized geometry", "lattice_angstrom": [[5.181, 0.000, 0.000], [0.000, 5.181, 0.000], [0.000, 0.000, 5.181]], "species": ["Si", "Hg", "Sb", "Sb", "Sb"], "frac_coords": [[0.000, 0.000, 0.000], [0.500, 0.500, 0.500], [0.000, 0.000, 0.500], [0.000, 0.500, 0.000], [0.500, 0.000, 0.000]], "density_g_cm3": 7.09, "crystal_system": "cubic", "volume_a3_per_atom": 27.8, "total_magnetization_mub_per_cell": 0.0, "raw_formation_energy_mev_per_atom": 574}

---

(2)
{"formula": "CaTlCd2", "functional": "GGA-PBEsol", "state": "optimized geometry", "lattice_angstrom": [[0.000, 3.637, 3.637], [3.637, 0.000, 3.637], [3.637, 3.637, 0.000]], "species": ["Ca", "Tl", "Cd", "Cd"], "frac_coords": [[0.000, 0.000, 0.000], [0.500, 0.500, 0.500], [0.250, 0.250, 0.250], [0.750, 0.750, 0.750]], "density_g_cm3": 8.10, "crystal_system": "cubic", "volume_a3_per_atom": 24.1, "total_magnetization_mub_per_cell": 0.0, "de_polymorph_mev_per_atom": 44, "e_form_kj_per_mol_fu": -85}

---

(3)
{"formula": "TiSeSCl2", "functional": "GGA-PBEsol", "state": "optimized geometry", "lattice_angstrom": [[4.675, 0.000, 0.000], [0.000, 4.675, 0.000], [0.000, 0.000, 4.778]], "species": ["Ti", "Se", "S", "Cl", "Cl"], "frac_coords": [[0.000, 0.000, 0.000], [0.500, 0.500, 0.500], [0.000, 0.000, 0.500], [0.000, 0.500, 0.000], [0.500, 0.000, 0.000]], "density_g_cm3": 3.65, "crystal_system": "tetragonal", "volume_a3_per_atom": 20.9, "total_magnetization_mub_per_cell": 2.1, "raw_formation_energy_mev_per_atom": -478}

---

(4)
{"formula": "Te3HPt", "functional": "GGA-PBEsol", "state": "optimized geometry", "lattice_angstrom": [[4.570, 0.000, 0.000], [0.000, 4.570, 0.000], [0.000, 0.000, 4.570]], "species": ["Te", "Te", "Te", "H", "Pt"], "frac_coords": [[0.000, 0.000, 0.500], [0.000, 0.500, 0.000], [0.500, 0.000, 0.000], [0.000, 0.000, 0.000], [0.500, 0.500, 0.500]], "density_g_cm3": 10.07, "crystal_system": "cubic", "volume_a3_per_atom": 19.1, "total_magnetization_mub_per_cell": 0.0, "energy_ev_per_atom": -3.45}

---

(5)
{"formula": "Ca3IrBr", "functional": "GGA-PBEsol", "state": "optimized geometry", "lattice_angstrom": [[5.441, 0.000, 0.000], [0.000, 5.441, 0.000], [0.000, 0.000, 5.441]], "species": ["Ca", "Ca", "Ca", "Ir", "Br"], "frac_coords": [[0.000, 0.000, 0.500], [0.000, 0.500, 0.000], [0.500, 0.000, 0.000], [0.000, 0.000, 0.000], [0.500, 0.500, 0.500]], "density_g_cm3": 4.04, "crystal_system": "cubic", "volume_a3_per_atom": 32.2, "total_magnetization_mub_per_cell": 0.0, "raw_formation_energy_mev_per_atom": -465}

---

(6)
{"formula": "Li2Sn2S3O12", "functional": "GGA-PBEsol", "state": "optimized geometry", "lattice_angstrom": [[13.524, 0.000, 0.000], [0.000, 8.793, 0.000], [0.000, 0.000, 8.936]], "species": ["Li", "Li", "Li", "Li", "Li", "Li", "Li", "Li", "Sn", "Sn", "Sn", "Sn", "Sn", "Sn", "Sn", "Sn", "S", "S", "S", "S", "S", "S", "S", "S", "S", "S", "S", "S", "O", "O", "O", "O", "O", "O", "O", "O", "O", "O", "O", "O", "O", "O", "O", "O", "O", "O", "O", "O", "O", "O", "O", "O", "O", "O", "O", "O", "O", "O", "O", "O", "O", "O", "O", "O", "O", "O", "O", "O", "O", "O", "O", "O", "O", "O", "O", "O"], "frac_coords": [[0.188, 0.198, 0.239], [0.188, 0.802, 0.739], [0.312, 0.302, 0.739], [0.312, 0.698, 0.239], [0.688, 0.302, 0.761], [0.688, 0.698, 0.261], [0.812, 0.198, 0.261], [0.812, 0.802, 0.761], [0.082, 0.239, 0.570], [0.082, 0.761, 0.070], [0.418, 0.261, 0.070], [0.418, 0.739, 0.570], [0.582, 0.261, 0.430], [0.582, 0.739, 0.930], [0.918, 0.239, 0.930], [0.918, 0.761, 0.430], [0.000, 0.413, 0.250], [0.000, 0.587, 0.750], [0.186, 0.099, 0.953], [0.186, 0.901, 0.453], [0.314, 0.401, 0.453], [0.314, 0.599, 0.953], [0.500, 0.087, 0.750], [0.500, 0.913, 0.250], [0.686, 0.401, 0.047], [0.686, 0.599, 0.547], [0.814, 0.099, 0.547], [0.814, 0.901, 0.047], [0.053, 0.498, 0.638], [0.053, 0.502, 0.138], [0.074, 0.312, 0.328], [0.074, 0.688, 0.828], [0.096, 0.143, 0.037], [0.096, 0.857, 0.537], [0.183, 0.068, 0.422], [0.183, 0.932, 0.922], [0.199, 0.180, 0.810], [0.199, 0.820, 0.310], [0.229, 0.367, 0.557], [0.229, 0.633, 0.057], [0.271, 0.133, 0.057], [0.271, 0.867, 0.557], [0.301, 0.320, 0.310], [0.301, 0.680, 0.810], [0.317, 0.432, 0.922], [0.317, 0.568, 0.422], [0.404, 0.357, 0.537], [0.404, 0.643, 0.037], [0.426, 0.188, 0.828], [0.426, 0.812, 0.328], [0.447, 0.002, 0.138], [0.447, 0.998, 0.638], [0.553, 0.002, 0.362], [0.553, 0.998, 0.862], [0.574, 0.188, 0.672], [0.574, 0.812, 0.172], [0.596, 0.357, 0.963], [0.596, 0.643, 0.463], [0.683, 0.432, 0.578], [0.683, 0.568, 0.078], [0.699, 0.320, 0.190], [0.699, 0.680, 0.690], [0.729, 0.133, 0.443], [0.729, 0.867, 0.943], [0.771, 0.367, 0.943], [0.771, 0.633, 0.443], [0.801, 0.180, 0.690], [0.801, 0.820, 0.190], [0.817, 0.068, 0.078], [0.817, 0.932, 0.578], [0.904, 0.143, 0.463], [0.904, 0.857, 0.963], [0.926, 0.312, 0.172], [0.926, 0.688, 0.672], [0.947, 0.498, 0.862], [0.947, 0.502, 0.362]], "density_g_cm3": 3.37, "crystal_system": "orthorhombic", "volume_a3_per_atom": 14.0, "total_magnetization_mub_per_cell": 0.0, "raw_formation_energy_mev_per_atom": -1581}

---

(7)
{"formula": "CdFe2Cl", "functional": "GGA-PBEsol", "state": "optimized geometry", "lattice_angstrom": [[1.447, 0.835, 8.103], [-1.447, 0.835, 8.103], [0.000, -1.670, 8.103]], "species": ["Cd", "Fe", "Fe", "Cl"], "frac_coords": [[0.000, 0.000, 0.000], [0.242, 0.242, 0.242], [0.758, 0.758, 0.758], [0.500, 0.500, 0.500]], "density_g_cm3": 7.34, "crystal_system": "trigonal", "volume_a3_per_atom": 14.7, "total_magnetization_mub_per_cell": 5.5, "raw_formation_energy_mev_per_atom": 322, "de_polymorph_mev_per_atom": 0}

---

(8)
{"formula": "NbHSN2", "functional": "GGA-PBEsol", "state": "optimized geometry", "lattice_angstrom": [[3.861, 0.000, 0.000], [0.000, 3.861, 0.000], [0.000, 0.000, 2.931]], "species": ["Nb", "H", "S", "N", "N"], "frac_coords": [[0.000, 0.000, 0.000], [0.500, 0.500, 0.500], [0.500, 0.500, 0.000], [0.000, 0.500, 0.500], [0.500, 0.000, 0.500]], "density_g_cm3": 5.85, "crystal_system": "tetragonal", "volume_a3_per_atom": 8.7, "total_magnetization_mub_per_cell": 0.0, "de_polymorph_mev_per_atom": 45}